Below is a relaxed Mn3Cr crystal, with properties calculated at the PBE-GGA level.

For the formation energy from the elements, the calculation gives 0.14 eV/atom. As for the total magnetic moment: 0.058 μB/atom.

The structure belongs to space group C2/m (No. 12); the cell edges are 8.3077, 2.4962 and 4.3247 Å and the angles 90.00°, 99.79° and 90.00°. Symmetry generates all atoms from Mn at (0.0000, 0.0000, 0.0000), Mn at (0.2445, 0.5000, 0.2426) and Cr at (0.0000, 0.5000, 0.5000).


Below is a relaxed Bi3TeBr7 crystal, with properties calculated at the PBE-GGA level.

The formation energy from raw total energies is -0.6653 eV/atom. As for the total magnetic moment: 0.000 μB/atom.

The structure belongs to space group Cm (No. 8); the cell edges are 14.4332, 8.5404 and 10.3332 Å and the angles 90.00°, 134.29° and 90.00°. Symmetry generates all atoms from Bi at (0.0000, 0.0000, 0.0000), Bi at (0.2556, 0.2551, 0.5102), Te at (0.4671, 0.5000, 0.6746), Br at (0.0441, 0.0000, 0.3412), Br at (0.0632, 0.5000, 0.3534), Br at (0.1994, 0.2402, 0.1790), Br at (0.3024, 0.2593, 0.8332) and Br at (0.4405, 0.0000, 0.6608).


Below is a relaxed CaInCu5 crystal, with properties calculated at the PBE-GGA level.

For the formation energy from the elements, the calculation gives -0.15 eV/atom. As for the total magnetic moment: 0.000 μB/atom.

The structure belongs to space group Pnma (No. 62); the cell edges are 8.3300, 5.1036 and 10.5461 Å and the angles 90.00°, 90.00° and 90.00°. Symmetry generates all atoms from Ca at (0.2451, 0.2500, 0.0615), In at (0.1377, 0.7500, 0.8619), Cu at (0.0560, 0.7500, 0.1075), Cu at (0.0673, 0.0014, 0.3136), Cu at (0.0856, 0.2500, 0.5174) and Cu at (0.1851, 0.2500, 0.7440).


Below is a relaxed Li5CdIn3 crystal, with properties calculated at the PBE-GGA level.

For the formation energy from the elements, the calculation gives -0.05 eV/atom. As for the total magnetic moment: 0.000 μB/atom.

The structure belongs to space group C2/m (No. 12); the cell edges are 9.6482, 7.2733 and 11.5527 Å and the angles 90.00°, 94.62° and 90.00°. Symmetry generates all atoms from Li at (0.0000, 0.1597, 0.0000), Li at (0.0185, 0.0000, 0.2763), Li at (0.2157, 0.2920, 0.6690), Li at (0.2357, 0.0000, 0.8725), Cd at (0.0351, 0.5000, 0.2548), In at (0.0000, 0.5000, 0.0000), In at (0.0000, 0.5000, 0.5000), In at (0.1582, 0.0000, 0.5124) and In at (0.2381, 0.0000, 0.1170).


Below is a relaxed CeH6IrAu crystal, with properties calculated at the PBE-GGA level.

As for the total magnetic moment: 0.113 μB/atom. Its total energy is -4.431 eV/atom.

The structure belongs to space group P-6m2 (No. 187); the cell edges are 4.8759, 4.8759 and 4.3687 Å and the angles 90.00°, 90.00° and 120.00°. Symmetry generates all atoms from Ce at (0.0000, 0.0000, 0.0000), H at (0.5190, 0.0380, 0.2253), Ir at (0.6667, 0.3333, 0.5000) and Au at (0.3333, 0.6667, 0.5000).


Below is a relaxed Cs4NdDy3Se8 crystal, with properties calculated at the PBE-GGA level.

The formation energy from raw total energies is -1.7256 eV/atom. As for the total magnetic moment: 0.000 μB/atom.

The structure belongs to space group R-3m (No. 166, hexagonal axes); the cell edges are 8.6034, 8.6034 and 25.1548 Å and the angles 90.00°, 90.00° and 120.00°. Symmetry generates all atoms from Cs at (0.0000, 0.0000, 0.0000), Cs at (0.0000, 0.5000, 0.0000), Nd at (0.0000, 0.0000, 0.5000), Dy at (0.0000, 0.5000, 0.5000), Se at (0.0000, 0.0000, 0.2282) and Se at (0.0071, 0.5036, 0.7709).


Below is a relaxed ScCu2H crystal, with properties calculated at the PBE-GGA level.

As for the total magnetic moment: 0.000 μB/atom. For the energy above the lowest structure with this stoichiometry, the calculation gives 41.3 kJ/mol of atoms.

The structure belongs to space group Fm-3m (No. 225); the cell edges are 6.0514, 6.0514 and 6.0514 Å and the angles 90.00°, 90.00° and 90.00°. Symmetry generates all atoms from Sc at (0.0000, 0.0000, 0.0000), Cu at (0.2500, 0.2500, 0.2500) and H at (0.0000, 0.0000, 0.5000).


Below is a relaxed CdNi3 crystal, with properties calculated at the PBE-GGA level.

For the formation energy from the elements, the calculation gives 0.14 eV/atom. As for the total magnetic moment: 0.254 μB/atom.

The structure belongs to space group C2/m (No. 12); the cell edges are 8.5588, 2.7022 and 4.6307 Å and the angles 90.00°, 100.94° and 90.00°. Symmetry generates all atoms from Cd at (0.0000, 0.0000, 0.0000), Ni at (0.0000, 0.5000, 0.5000) and Ni at (0.2419, 0.0000, 0.7174).